Below is Al2Ni2Au after structural relaxation, with properties calculated at the GGA-PBEsol level.

Cell and atoms, written as POSCAR:
```
Al2Ni2Au
1.0
6.8640 0.0000 0.0000
0.0000 6.8640 0.0000
0.0000 0.0000 2.7511
Al Ni Au
4 4 2
direct
0.1634 0.3366 0.0000 Al
0.3366 0.8366 0.0000 Al
0.6634 0.1634 0.0000 Al
0.8366 0.6634 0.0000 Al
0.1315 0.6315 0.5000 Ni
0.3685 0.1315 0.5000 Ni
0.6315 0.8685 0.5000 Ni
0.8685 0.3685 0.5000 Ni
0.0000 0.0000 0.5000 Au
0.5000 0.5000 0.5000 Au
```

SG = P4/mbm, No. 127
VASP energy = -5.388 eV/atom
Energy relative to the elements = -503 meV per atom
Crystal system = tetragonal



Below is La3ReSn after structural relaxation, with properties calculated at the GGA-PBEsol level.

Cell and atoms, written as POSCAR:
```
La3ReSn
1.0
5.8345 0.0000 0.0000
0.0000 5.8345 0.0000
0.0000 0.0000 5.8345
La Re Sn
3 1 1
direct
0.0000 0.0000 0.5000 La
0.0000 0.5000 0.0000 La
0.5000 0.0000 0.0000 La
0.5000 0.5000 0.5000 Re
0.0000 0.0000 0.0000 Sn
```

SG = Pm-3m, No. 221
VASP energy = -5.370 eV/atom
Energy relative to the elements = 1356 meV per atom
Crystal system = cubic



Below is Be3Co after structural relaxation, with properties calculated at the GGA-PBEsol level.

Cell and atoms, written as POSCAR:
```
Be3Co
1.0
-2.2386 3.2299 2.2502
2.2386 -3.2299 2.2502
2.2386 3.2299 -2.2502
Be Co
6 2
direct
0.2574 0.0000 0.7574 Be
0.2574 0.5000 0.2574 Be
0.2668 0.0168 0.2500 Be
0.7332 0.9832 0.7500 Be
0.7426 0.0000 0.2426 Be
0.7426 0.5000 0.7426 Be
0.2188 0.4688 0.7500 Co
0.7812 0.5312 0.2500 Co
```

SG = Imma, No. 74
VASP energy = -5.173 eV/atom
Energy relative to the elements = -239 meV per atom
Crystal system = orthorhombic



Below is SiAu after structural relaxation, with properties calculated at the GGA-PBEsol level.

Cell and atoms, written as POSCAR:
```
SiAu
1.0
1.8453 -2.2325 0.0000
1.8453 2.2325 0.0000
0.0000 0.0000 7.7292
Si Au
2 2
direct
0.2500 0.7500 0.8819 Si
0.7500 0.2500 0.1181 Si
0.2500 0.7500 0.3569 Au
0.7500 0.2500 0.6431 Au
```

SG = Cmme, No. 67
VASP energy = -4.638 eV/atom
Energy relative to the elements, uncorrected = 0.4 eV per formula unit
Crystal system = orthorhombic



Below is CeAu6 after structural relaxation, with properties calculated at the GGA-PBEsol level.

Cell and atoms, written as POSCAR:
```
CeAu6
1.0
3.8829 -3.8379 0.0000
3.8829 3.8379 0.0000
-1.5610 0.0000 8.8742
Ce Au
2 12
direct
0.1807 0.8193 0.7500 Ce
0.8193 0.1807 0.2500 Ce
0.0488 0.6682 0.1249 Au
0.1140 0.2867 0.5818 Au
0.2867 0.1140 0.0818 Au
0.3318 0.9512 0.3751 Au
0.3482 0.4491 0.3616 Au
0.4491 0.3482 0.8616 Au
0.5509 0.6518 0.1384 Au
0.6518 0.5509 0.6384 Au
0.6682 0.0488 0.6249 Au
0.7133 0.8860 0.9182 Au
0.8860 0.7133 0.4182 Au
0.9512 0.3318 0.8751 Au
```

SG = C2/c, No. 15
VASP energy = -4.667 eV/atom
Energy relative to the elements = -361 meV per atom
Crystal system = monoclinic



Below is NbPRh3 after structural relaxation, with properties calculated at the GGA-PBEsol level.

Cell and atoms, written as POSCAR:
```
NbPRh3
1.0
4.6325 0.0000 0.0000
0.0000 4.6325 0.0000
0.0000 0.0000 4.6325
Nb P Rh
1 1 3
direct
0.0000 0.0000 0.0000 Nb
0.5000 0.5000 0.5000 P
0.0000 0.0000 0.5000 Rh
0.0000 0.5000 0.0000 Rh
0.5000 0.0000 0.0000 Rh
```

SG = Pm-3m, No. 221
VASP energy = -6.797 eV/atom
Energy relative to the elements = 1409 meV per atom
Crystal system = cubic



Below is Ba2CaZn after structural relaxation, with properties calculated at the GGA-PBEsol level.

Cell and atoms, written as POSCAR:
```
Ba2CaZn
1.0
4.0544 0.0000 0.0000
0.0000 4.0544 0.0000
0.0000 0.0000 9.8589
Ba Ca Zn
2 1 1
direct
0.0000 0.0000 0.1911 Ba
0.0000 0.0000 0.8089 Ba
0.5000 0.5000 0.5000 Ca
0.5000 0.5000 0.0000 Zn
```

SG = P4/mmm, No. 123
VASP energy = -2.070 eV/atom
Energy relative to the elements = -67 meV per atom
Crystal system = tetragonal



Below is CoNiHg2 after structural relaxation, with properties calculated at the GGA-PBEsol level.

Cell and atoms, written as POSCAR:
```
CoNiHg2
1.0
0.0000 3.1368 3.1368
3.1368 0.0000 3.1368
3.1368 3.1368 0.0000
Co Ni Hg
1 1 2
direct
0.0000 0.0000 0.0000 Co
0.2500 0.2500 0.2500 Ni
0.5000 0.5000 0.5000 Hg
0.7500 0.7500 0.7500 Hg
```

SG = F-43m, No. 216
VASP energy = -3.267 eV/atom
Energy relative to the elements = 490 meV per atom
Crystal system = cubic



Below is BiPd2RuCl after structural relaxation, with properties calculated at the GGA-PBEsol level.

Cell and atoms, written as POSCAR:
```
BiPd2RuCl
1.0
4.7745 0.0000 0.0000
0.0000 4.7745 0.0000
0.0000 0.0000 5.1215
Bi Pd Ru Cl
1 2 1 1
direct
0.0000 0.0000 0.0000 Bi
0.0000 0.5000 0.5000 Pd
0.5000 0.0000 0.5000 Pd
0.0000 0.0000 0.5000 Ru
0.5000 0.5000 0.0000 Cl
```

SG = P4/mmm, No. 123
VASP energy = -4.754 eV/atom
Energy relative to the elements, uncorrected = 4.6 eV per formula unit
Crystal system = tetragonal



Below is CdReP2 after structural relaxation, with properties calculated at the GGA-PBEsol level.

Cell and atoms, written as POSCAR:
```
CdReP2
1.0
0.0000 3.1337 3.1337
3.1337 0.0000 3.1337
3.1337 3.1337 0.0000
Cd Re P
1 1 2
direct
0.0000 0.0000 0.0000 Cd
0.7500 0.7500 0.7500 Re
0.2500 0.2500 0.2500 P
0.5000 0.5000 0.5000 P
```

SG = F-43m, No. 216
VASP energy = -5.579 eV/atom
Energy relative to the elements = 949 meV per atom
Crystal system = cubic



Below is FeSCl2 after structural relaxation, with properties calculated at the GGA-PBEsol level.

Cell and atoms, written as POSCAR:
```
FeSCl2
1.0
-4.3801 4.3801 2.1595
4.3801 -4.3801 2.1595
4.3801 4.3801 -2.1595
Fe S Cl
2 2 4
direct
0.0000 0.0000 0.0000 Fe
0.7500 0.2500 0.5000 Fe
0.2500 0.7500 0.5000 S
0.5000 0.5000 0.0000 S
0.3750 0.0384 0.1634 Cl
0.7884 0.6250 0.6634 Cl
0.8750 0.2116 0.8366 Cl
0.9616 0.1250 0.3366 Cl
```

SG = I-42d, No. 122
VASP energy = -4.445 eV/atom
Energy relative to the elements, uncorrected = -0.4 eV per formula unit
Crystal system = tetragonal



Below is SrLiTc2 after structural relaxation, with properties calculated at the GGA-PBEsol level.

Cell and atoms, written as POSCAR:
```
SrLiTc2
1.0
2.6108 -5.1003 0.0000
2.6108 5.1003 0.0000
-0.6987 0.0000 2.5798
Sr Li Tc
1 1 2
direct
0.0000 0.0000 0.0000 Sr
0.5000 0.5000 0.0000 Li
0.0000 0.5000 0.5000 Tc
0.5000 0.0000 0.5000 Tc
```

SG = C2/m, No. 12
VASP energy = -5.787 eV/atom
Energy relative to the elements = 798 meV per atom
Crystal system = monoclinic



Below is VO2 after structural relaxation, with properties calculated at the GGA-PBEsol level.

Cell and atoms, written as POSCAR:
```
VO2
1.0
2.9291 0.0000 0.0000
-1.4645 2.5366 0.0000
0.0000 0.0000 10.3948
V O
2 4
direct
0.3333 0.6667 0.2500 V
0.6667 0.3333 0.7500 V
0.3333 0.6667 0.0891 O
0.3333 0.6667 0.4109 O
0.6667 0.3333 0.5891 O
0.6667 0.3333 0.9109 O
```

SG = P6_3/mmc, No. 194
VASP energy = -6.910 eV/atom
Energy relative to the elements, uncorrected = -0.6 eV per formula unit
Crystal system = hexagonal



Below is CuAs after structural relaxation, with properties calculated at the GGA-PBEsol level.

Cell and atoms, written as POSCAR:
```
CuAs
1.0
3.7885 0.0000 0.0000
0.0000 2.6310 0.0000
0.0000 0.0000 6.3495
Cu As
2 2
direct
0.2500 0.0000 0.1269 Cu
0.7500 0.0000 0.8731 Cu
0.2500 0.5000 0.7053 As
0.7500 0.5000 0.2947 As
```

SG = Pmma, No. 51
VASP energy = -4.551 eV/atom
Energy relative to the elements = 169 meV per atom
Crystal system = orthorhombic



Below is BaHg2Pt after structural relaxation, with properties calculated at the GGA-PBEsol level.

Cell and atoms, written as POSCAR:
```
BaHg2Pt
1.0
4.1324 -2.3945 0.0000
4.1324 2.3945 0.0000
-2.7565 0.0000 5.4591
Ba Hg Pt
1 2 1
direct
0.0000 0.0000 0.0000 Ba
0.5400 0.5400 0.6221 Hg
0.7927 0.7927 0.3804 Hg
0.1970 0.1970 0.5945 Pt
```

SG = Cm, No. 8
VASP energy = -3.000 eV/atom
Energy relative to the elements = -438 meV per atom
Crystal system = monoclinic



Below is MgTi2NbW after structural relaxation, with properties calculated at the GGA-PBEsol level.

Cell and atoms, written as POSCAR:
```
MgTi2NbW
1.0
4.7774 0.0000 0.0000
0.0000 4.7774 0.0000
0.0000 0.0000 4.8564
Mg Ti Nb W
1 2 1 1
direct
0.0000 0.0000 0.0000 Mg
0.0000 0.5000 0.5000 Ti
0.5000 0.0000 0.5000 Ti
0.5000 0.5000 0.0000 Nb
0.5000 0.5000 0.5000 W
```

SG = P4/mmm, No. 123
VASP energy = -7.623 eV/atom
Energy relative to the elements = 975 meV per atom
Crystal system = tetragonal



Below is MnMoIr2 after structural relaxation, with properties calculated at the GGA-PBEsol level.

Cell and atoms, written as POSCAR:
```
MnMoIr2
1.0
2.6966 0.0000 0.0000
0.0000 4.2628 0.0000
0.0000 0.0000 4.6829
Mn Mo Ir
1 1 2
direct
0.0000 0.0000 0.0000 Mn
0.0000 0.5000 0.6703 Mo
0.5000 0.0000 0.4954 Ir
0.5000 0.5000 0.1485 Ir
```

SG = Pmm2, No. 25
VASP energy = -10.530 eV/atom
Energy relative to the elements = -236 meV per atom
Crystal system = orthorhombic



Below is In2Se after structural relaxation, with properties calculated at the GGA-PBEsol level.

Cell and atoms, written as POSCAR:
```
In2Se
1.0
2.0389 -6.3309 0.0000
2.0389 6.3309 0.0000
0.0000 0.0000 5.9812
In Se
4 2
direct
0.0177 0.9823 0.7500 In
0.3354 0.6646 0.7500 In
0.6646 0.3354 0.2500 In
0.9823 0.0177 0.2500 In
0.3228 0.6772 0.2500 Se
0.6772 0.3228 0.7500 Se
```

SG = Cmcm, No. 63
VASP energy = -3.566 eV/atom
Energy relative to the elements, uncorrected = -0.9 eV per formula unit
Crystal system = orthorhombic



Below is LaAlHg after structural relaxation, with properties calculated at the GGA-PBEsol level.

Cell and atoms, written as POSCAR:
```
LaAlHg
1.0
4.7054 0.0000 0.0000
-2.3527 4.0750 0.0000
0.0000 0.0000 7.6809
La Al Hg
2 2 2
direct
0.0000 0.0000 0.0000 La
0.0000 0.0000 0.5000 La
0.6667 0.3333 0.2120 Al
0.6667 0.3333 0.7880 Al
0.3333 0.6667 0.2789 Hg
0.3333 0.6667 0.7211 Hg
```

SG = P-6m2, No. 187
VASP energy = -3.885 eV/atom
Energy relative to the elements = -551 meV per atom
Crystal system = hexagonal



Below is Mn2TlTc after structural relaxation, with properties calculated at the GGA-PBEsol level.

Cell and atoms, written as POSCAR:
```
Mn2TlTc
1.0
-1.9572 1.9572 3.7684
1.9572 -1.9572 3.7684
1.9572 1.9572 -3.7684
Mn Tl Tc
2 1 1
direct
0.2500 0.7500 0.5000 Mn
0.7500 0.2500 0.5000 Mn
0.0000 0.0000 0.0000 Tl
0.5000 0.5000 0.0000 Tc
```

SG = I4/mmm, No. 139
VASP energy = -7.802 eV/atom
Energy relative to the elements = 553 meV per atom
Crystal system = tetragonal